# 1
TmPu2ScAs4: optimized geometry, PBE.

abc: 6.979 4.070 7.043
angles: 90.00 109.66 90.00
Space group P2/m (No. 10)
Asymmetric unit:
Tm: 0.000 0.000 0.000 (multiplicity 1)
Pu: 0.500 0.000 0.500 (multiplicity 1)
Pu: 0.500 0.500 0.000 (multiplicity 1)
Sc: 0.000 0.500 0.500 (multiplicity 1)
As: 0.241 0.000 0.742 (multiplicity 2)
As: 0.245 0.500 0.254 (multiplicity 2)

Summary:
Uncorrected energy   -67.83 eV/cell
DFT formation energy   -1.220 eV/atom


# 2
La2PuTc2N6: optimized geometry, PBE.

abc: 5.8054 5.8054 17.8166
angles: 90.00 90.00 120.00
Space group R-3m (No. 166, hexagonal axes)
Asymmetric unit:
La: 0.0000 0.0000 0.2089 (multiplicity 6)
Pu: 0.0000 0.0000 0.0000 (multiplicity 3)
Tc: 0.0000 0.0000 0.3985 (multiplicity 6)
N: 0.0135 0.5067 0.7603 (multiplicity 18)

Summary:
E_form (uncorrected)   -0.6789 eV per atom
Uncorrected energy   -307.02 eV/cell


# 3
TaMn2Ru2: optimized geometry, PBE.

abc: 7.172 7.172 2.693
angles: 90.00 90.00 90.00
Space group P4/mbm (No. 127)
Asymmetric unit:
Ta: 0.000 0.000 0.000 (multiplicity 2)
Mn: 0.169 0.331 0.500 (multiplicity 4)
Ru: 0.128 0.628 0.000 (multiplicity 4)

Summary:
Uncorrected energy   -96.52 eV/cell
DFT formation energy   0.097 eV/atom


# 4
Ce2DyTe3: optimized geometry, PBE.

abc: 8.924 12.563 26.554
angles: 90.00 90.00 90.00
Space group Fddd (No. 70, origin choice 2)
Asymmetric unit:
Ce: 0.125 0.125 0.043 (multiplicity 16)
Ce: 0.125 0.125 0.374 (multiplicity 16)
Dy: 0.125 0.125 0.542 (multiplicity 16)
Te: 0.115 0.375 0.875 (multiplicity 16)
Te: 0.121 0.371 0.710 (multiplicity 32)

Summary:
E_form (uncorrected)   -1.3455 eV per atom
Uncorrected energy   -543.49 eV/cell


# 5
LiTcO2: optimized geometry, PBE.

abc: 2.675 2.675 5.327
angles: 90.00 90.00 90.00
Space group P4/mmm (No. 123)
Asymmetric unit:
Li: 0.000 0.000 0.000 (multiplicity 1)
Tc: 0.000 0.000 0.500 (multiplicity 1)
O: 0.500 0.500 0.273 (multiplicity 2)

Summary:
E_form (uncorrected)   -0.9452 eV per atom
Uncorrected energy   -25.98 eV/cell


# 6
TmAl2Pb: optimized geometry, PBE.

abc: 4.469 4.469 4.437
angles: 90.00 90.00 90.00
Space group P4/mmm (No. 123)
Asymmetric unit:
Tm: 0.000 0.000 0.000 (multiplicity 1)
Al: 0.000 0.500 0.500 (multiplicity 2)
Pb: 0.500 0.500 0.000 (multiplicity 1)

Summary:
Uncorrected energy   -16.51 eV/cell
DFT formation energy   -0.210 eV/atom